Record 1
Computed, not measured: crystalline Er6TmCd at its relaxed geometry at the PBE-GGA level of DFT.

total moment: 0.000 μB per atom
symmetry: R-3 (148)
DOS at the Fermi energy: 11.81 states/eV/f.u.
ΔH_f (0 K): 0.48 eV/f.u.

a = 9.1223 Å, b = 8.4616 Å, c = 6.2214 Å
α = 47.17°, β = 42.82°, γ = 57.33°
Positions (direct):
Er 0.0399 0.4512 0.7512
Er 0.7578 0.9602 0.7330
Er 0.5487 0.2423 0.1689
Er 0.2422 0.0398 0.2670
Er 0.9601 0.5488 0.2488
Er 0.4513 0.7577 0.8311
Tm 0.5000 0.5000 0.5000
Cd 0.0000 0.0000 0.0000

***

Record 2
Computed, not measured: crystalline ErTm2Cd2 at its relaxed geometry at the PBE-GGA level of DFT.

total moment: 0.000 μB per atom
symmetry: Immm (71)
excess energy over the best structure of this formula in the dataset: 111.7 meV/atom
DOS at the Fermi energy: 5.73 states/eV/f.u.
ΔH_f (0 K): -0.70 eV/f.u.

a = 4.9604 Å, b = 5.8420 Å, c = 5.8420 Å
α = 70.26°, β = 64.88°, γ = 64.88°
Positions (direct):
Er 0.0000 0.0000 0.0000
Tm 0.1982 0.3018 0.3018
Tm 0.8018 0.6982 0.6982
Cd 0.5000 0.2888 0.7112
Cd 0.5000 0.7112 0.2888

***

Record 3
Computed, not measured: crystalline Er5Tm4Cd at its relaxed geometry at the PBE-GGA level of DFT.

total moment: 0.000 μB per atom
symmetry: P4/mmm (123)
excess energy over the best structure of this formula in the dataset: 0.0 meV/atom
DOS at the Fermi energy: 13.57 states/eV/f.u.
ΔH_f (0 K): -0.40 eV/f.u.

a = 3.5013 Å, b = 3.5013 Å, c = 23.9462 Å
α = 90.00°, β = 90.00°, γ = 90.00°
Positions (direct):
Er 0.5000 0.5000 0.0878
Er 0.5000 0.5000 0.2936
Er 0.5000 0.5000 0.5000
Er 0.5000 0.5000 0.7064
Er 0.5000 0.5000 0.9122
Tm 0.0000 0.0000 0.1908
Tm 0.0000 0.0000 0.3969
Tm 0.0000 0.0000 0.6031
Tm 0.0000 0.0000 0.8092
Cd 0.0000 0.0000 0.0000

***

Record 4
Computed, not measured: crystalline Er2TmCd5 at its relaxed geometry at the PBE-GGA level of DFT.

total moment: 0.000 μB per atom
symmetry: I4/mmm (139)
DOS at the Fermi energy: 3.27 states/eV/f.u.
ΔH_f (0 K): -2.26 eV/f.u.

a = 5.0887 Å, b = 5.0887 Å, c = 8.2740 Å
α = 107.91°, β = 107.91°, γ = 90.00°
Positions (direct):
Er 0.7410 0.7410 0.4821
Er 0.2590 0.2590 0.5179
Tm 0.0000 0.0000 0.0000
Cd 0.5000 0.5000 0.0000
Cd 0.8803 0.3803 0.7606
Cd 0.3803 0.8803 0.7606
Cd 0.1197 0.6197 0.2394
Cd 0.6197 0.1197 0.2394

***

Record 5
Computed, not measured: crystalline Er2Tm3Cd2 at its relaxed geometry at the PBE-GGA level of DFT.

total moment: 0.000 μB per atom
symmetry: Cmmm (65)
excess energy over the best structure of this formula in the dataset: 97.8 meV/atom
DOS at the Fermi energy: 5.87 states/eV/f.u.
ΔH_f (0 K): -0.33 eV/f.u.

a = 5.0482 Å, b = 3.4130 Å, c = 11.4750 Å
α = 90.00°, β = 77.29°, γ = 90.00°
Positions (direct):
Er 0.7104 0.5000 0.5792
Er 0.2896 0.5000 0.4208
Tm 0.8522 0.0000 0.2955
Tm 0.0000 0.0000 0.0000
Tm 0.1478 0.0000 0.7045
Cd 0.5687 0.5000 0.8626
Cd 0.4313 0.5000 0.1374

***

Record 6
Computed, not measured: crystalline Er3TmCd at its relaxed geometry at the PBE-GGA level of DFT.

total moment: 0.000 μB per atom
symmetry: P2_1/m (11)
excess energy over the best structure of this formula in the dataset: 216.4 meV/atom
DOS at the Fermi energy: 5.44 states/eV/f.u.
ΔH_f (0 K): 0.55 eV/f.u.

a = 3.4935 Å, b = 10.6333 Å, c = 9.0060 Å
α = 90.00°, β = 90.00°, γ = 108.46°
Positions (direct):
Er 0.1494 0.6656 0.4404
Er 0.8506 0.3344 0.5596
Er 0.1494 0.6656 0.0596
Er 0.8506 0.3344 0.9404
Er 0.5836 0.5750 0.7500
Er 0.4164 0.4250 0.2500
Tm 0.4088 0.8724 0.7500
Tm 0.5912 0.1276 0.2500
Cd 0.1597 0.1331 0.7500
Cd 0.8403 0.8669 0.2500

***

Record 7
Computed, not measured: crystalline Er2Tm7Cd2 at its relaxed geometry at the PBE-GGA level of DFT.

total moment: 0.000 μB per atom
symmetry: C2/m (12)
DOS at the Fermi energy: 11.71 states/eV/f.u.
ΔH_f (0 K): -0.48 eV/f.u.

a = 8.2987 Å, b = 6.4042 Å, c = 6.4042 Å
α = 97.83°, β = 77.46°, γ = 77.46°
Positions (direct):
Er 0.5000 0.3156 0.6844
Er 0.5000 0.6844 0.3156
Tm 0.1737 0.1254 0.4816
Tm 0.8263 0.5184 0.8746
Tm 0.8263 0.8746 0.5184
Tm 0.1737 0.4816 0.1254
Tm 0.0000 0.0000 0.0000
Tm 0.4181 0.8569 0.8569
Tm 0.5819 0.1431 0.1431
Cd 0.8261 0.3800 0.3800
Cd 0.1739 0.6200 0.6200

***

Record 8
Computed, not measured: crystalline Er4Tm3Cd2 at its relaxed geometry at the PBE-GGA level of DFT.

total moment: 0.000 μB per atom
symmetry: C2/m (12)
DOS at the Fermi energy: 11.51 states/eV/f.u.
ΔH_f (0 K): -0.68 eV/f.u.

a = 4.8111 Å, b = 7.6884 Å, c = 7.6139 Å
α = 107.52°, β = 108.42°, γ = 90.00°
Positions (direct):
Er 0.5563 0.3348 0.1126
Er 0.7788 0.6776 0.5576
Er 0.4437 0.6652 0.8874
Er 0.2212 0.3224 0.4424
Tm 0.8866 0.3278 0.7732
Tm 0.1134 0.6722 0.2268
Tm 0.0000 0.0000 0.0000
Cd 0.3339 0.0016 0.6678
Cd 0.6661 0.9984 0.3322